No. 1
Computed, not measured: a geometry-optimized Rb2SrZrF6 structure at the PBE level of DFT.

Values from the calculation:
Magnetization   1.7 μB per cell
Electronic total energy   -5.32 eV per atom
Formation energy without anion corrections   -2872 kJ/mol of formula units

abc: 6.6341 6.6341 6.5768
angles: 59.71 59.71 90.00
Closest atoms and distances in Å follow each position.
Element x y z (fractional)
Zr 0.0000 0.0000 0.0000  6 F 2.18-2.27
F 0.2422 0.7578 0.0000  1 Zr 2.27, 1 Sr 2.42
F 0.7578 0.2422 0.0000  1 Zr 2.27, 1 Sr 2.42
Rb 0.2500 0.7500 0.5000  12 F 3.29-3.32
F 0.2422 0.2422 0.0000  1 Zr 2.27, 1 Sr 2.42
F 0.7578 0.7578 0.0000  1 Zr 2.27, 1 Sr 2.42
Sr 0.5000 0.5000 0.0000  6 F 2.42-2.43
Rb 0.7500 0.2500 0.5000  12 F 3.29-3.32
F 0.7639 0.7639 0.4722  1 Zr 2.18, 1 Sr 2.43
F 0.2361 0.2361 0.5278  1 Zr 2.18, 1 Sr 2.43

---

No. 2
Computed, not measured: a geometry-optimized Ho4FeS7 structure at the PBE level of DFT.

Values from the calculation:
Magnetization   4.0 μB per cell
Electronic total energy   -6.35 eV per atom
Formation energy without anion corrections   -1980 kJ/mol of formula units

abc: 6.4581 6.4581 11.3606
angles: 75.93 75.93 34.02
Closest atoms and distances in Å follow each position.
Element x y z (fractional)
S 0.2723 0.2723 0.3543  2 Fe 2.64, 3 Ho 2.68-2.83
Fe 0.8905 0.8905 0.4256  6 S 2.47-2.64
S 0.4898 0.4898 0.4923  2 Fe 2.47, 2 Ho 2.66
S 0.0326 0.0326 0.2288  1 Fe 2.47, 3 Ho 2.66-2.72
Ho 0.1111 0.1111 0.5627  6 S 2.66-2.77
Ho 0.6946 0.6946 0.2097  6 S 2.72-2.87
S 0.6597 0.6597 0.9476  4 Ho 2.70-2.84
S 0.3371 0.3371 0.0528  5 Ho 2.70-3.00
Ho 0.3051 0.3051 0.7995  7 S 2.69-3.00
Ho 0.9990 0.9990 0.0069  6 S 2.66-2.70
S 0.9632 0.9632 0.7838  4 Ho 2.68-2.70
S 0.7449 0.7449 0.6359  1 Fe 2.60, 4 Ho 2.77-2.88

---

No. 3
Computed, not measured: a geometry-optimized UFeP2Rh2 structure at the PBE level of DFT.

Values from the calculation:
Magnetization   1.6 μB per cell
Electronic total energy   -8.17 eV per atom
ΔH_f (0 K)   -0.6237 eV/atom

abc: 3.7077 6.0889 7.9266
angles: 90.00 90.00 90.00
Closest atoms and distances in Å follow each position.
Element x y z (fractional)
Fe 0.5000 0.6432 0.2965  3 P 2.24-2.36
Rh 0.5000 0.0122 0.1097  3 P 2.31-2.42
U 0.0000 0.9789 0.4552  5 P 2.81-2.87, 4 Fe 2.88-3.03, 2 U 3.13
P 0.5000 0.7762 0.6816  1 Fe 2.24, 3 Rh 2.31-2.39
Rh 0.0000 0.8763 0.8549  4 P 2.33-2.39
P 0.5000 0.2762 0.3184  1 Fe 2.24, 3 Rh 2.31-2.39
Rh 0.0000 0.3763 0.1451  4 P 2.33-2.39
U 0.0000 0.4789 0.5448  5 P 2.81-2.87, 4 Fe 2.88-3.03, 2 U 3.13
P 0.0000 0.2588 0.8646  4 Rh 2.33-2.42, 2 Fe 2.36
Rh 0.5000 0.5122 0.8903  3 P 2.31-2.42
Fe 0.5000 0.1432 0.7035  3 P 2.24-2.36
P 0.0000 0.7588 0.1354  4 Rh 2.33-2.42, 2 Fe 2.36

---

No. 4
Computed, not measured: a geometry-optimized In2FeOs structure at the PBE level of DFT.

Values from the calculation:
Magnetization   2.3 μB per cell
Electronic total energy   -5.71 eV per atom
ΔH_f (0 K)   0.5800 eV/atom

abc: 2.9451 2.9451 8.8712
angles: 90.00 90.00 115.48
Closest atoms and distances in Å follow each position.
Element x y z (fractional)
Os 0.5000 0.5000 0.2500  4 In 2.76, 4 Os 2.95
Fe 0.5000 0.5000 0.7500  4 In 2.68, 4 Fe 2.95
In 0.0000 0.0000 0.5053  2 Fe 2.68, 2 Os 2.76, 4 In 2.95
In 0.0000 0.0000 0.9947  2 Fe 2.68, 2 Os 2.76, 4 In 2.95

---

No. 5
Computed, not measured: a geometry-optimized Pm3Al2Ga3 structure at the PBE level of DFT.

Values from the calculation:
Magnetization   1.6 μB per cell
Electronic total energy   -4.44 eV per atom
ΔH_f (0 K)   -0.5850 eV/atom

abc: 4.4053 6.0222 14.8247
angles: 90.00 90.00 111.45
Closest atoms and distances in Å follow each position.
Element x y z (fractional)
Ga 0.6153 0.2307 0.4605  3 Al 2.63-2.75, 1 Ga 2.84
Pm 0.9257 0.8514 0.1135  6 Ga 3.11-3.25, 3 Al 3.21-3.29
Ga 0.6508 0.3015 0.7500  2 Al 2.70
Pm 0.6393 0.2785 0.2500  5 Ga 3.13-3.25, 4 Al 3.28
Pm 0.3607 0.7215 0.7500  5 Ga 3.13-3.25, 4 Al 3.28
Pm 0.0743 0.1486 0.6135  6 Ga 3.11-3.25, 3 Al 3.21-3.29
Ga 0.3492 0.6985 0.2500  2 Al 2.70
Al 0.2187 0.4375 0.4028  4 Ga 2.63-2.75
Ga 0.3847 0.7693 0.9605  3 Al 2.63-2.75, 1 Ga 2.84
Pm 0.0743 0.1486 0.8865  6 Ga 3.11-3.25, 3 Al 3.21-3.29
Ga 0.3847 0.7693 0.5395  3 Al 2.63-2.75, 1 Ga 2.84
Al 0.2187 0.4375 0.0972  4 Ga 2.63-2.75
Al 0.7813 0.5625 0.9028  4 Ga 2.63-2.75
Ga 0.6153 0.2307 0.0395  3 Al 2.63-2.75, 1 Ga 2.84
Al 0.7813 0.5625 0.5972  4 Ga 2.63-2.75
Pm 0.9257 0.8514 0.3865  6 Ga 3.11-3.25, 3 Al 3.21-3.29

---

No. 6
Computed, not measured: a geometry-optimized SnRu2Se structure at the PBE level of DFT.

Values from the calculation:
Magnetization   0.0 μB per cell
Electronic total energy   -6.27 eV per atom
Formation energy without anion corrections   94 kJ/mol of formula units

abc: 4.5312 4.5312 4.5312
angles: 60.00 60.00 60.00
Closest atoms and distances in Å follow each position.
Element x y z (fractional)
Ru 0.7500 0.7500 0.7500  4 Sn 2.77, 4 Se 2.77
Sn 0.5000 0.5000 0.5000  8 Ru 2.77
Ru 0.2500 0.2500 0.2500  4 Sn 2.77, 4 Se 2.77
Se 0.0000 0.0000 0.0000  8 Ru 2.77

---

No. 7
Computed, not measured: a geometry-optimized Ba4AuSCl2 structure at the PBE level of DFT.

Values from the calculation:
Magnetization   1.5 μB per cell
Electronic total energy   -3.93 eV per atom
Formation energy without anion corrections   -1220 kJ/mol of formula units

abc: 4.5789 8.1370 8.1663
angles: 71.33 90.00 90.00
Closest atoms and distances in Å follow each position.
Element x y z (fractional)
Cl 0.0000 0.0000 0.0000  6 Ba 3.36-3.37
Ba 0.5000 0.2662 0.7470  1 S 3.23, 2 Au 3.24, 3 Cl 3.37-3.40
Au 0.0000 0.5000 0.5000  6 Ba 3.24-3.26
Ba 0.5000 0.7338 0.2530  1 S 3.23, 2 Au 3.24, 3 Cl 3.37-3.40
Cl 0.5000 0.0000 0.5000  6 Ba 3.40-3.41
Ba 0.0000 0.2693 0.2383  2 S 3.20, 1 Au 3.26, 3 Cl 3.36-3.41
S 0.5000 0.5000 0.0000  6 Ba 3.20-3.23
Ba 0.0000 0.7307 0.7617  2 S 3.20, 1 Au 3.26, 3 Cl 3.36-3.41

---

No. 8
Computed, not measured: a geometry-optimized SrAg2Rh2 structure at the PBE level of DFT.

Values from the calculation:
Magnetization   1.0 μB per cell
Electronic total energy   -4.22 eV per atom
ΔH_f (0 K)   0.1971 eV/atom

abc: 8.0424 8.0424 2.9736
angles: 90.00 90.00 90.00
Closest atoms and distances in Å follow each position.
Element x y z (fractional)
Ag 0.3746 0.8746 0.0000  6 Rh 2.75-2.83, 3 Ag 2.85-2.97
Rh 0.1708 0.6708 0.5000  6 Ag 2.75-2.83, 2 Rh 2.97
Rh 0.8292 0.3292 0.5000  6 Ag 2.75-2.83, 2 Rh 2.97
Sr 0.5000 0.5000 0.0000  2 Sr 2.97, 4 Ag 3.18
Sr 0.0000 0.0000 0.0000  2 Sr 2.97, 4 Ag 3.18
Rh 0.6708 0.8292 0.5000  6 Ag 2.75-2.83, 2 Rh 2.97
Ag 0.8746 0.6254 0.0000  6 Rh 2.75-2.83, 3 Ag 2.85-2.97
Ag 0.1254 0.3746 0.0000  6 Rh 2.75-2.83, 3 Ag 2.85-2.97
Ag 0.6254 0.1254 0.0000  6 Rh 2.75-2.83, 3 Ag 2.85-2.97
Rh 0.3292 0.1708 0.5000  6 Ag 2.75-2.83, 2 Rh 2.97

---

Listing density of states at the Fermi level for the structures above in their given order: 12.2; 3.8; 10.5; 2.4; 11.6; 4.7; 6.5; 13.1 states/eV per cell.